1.
# ScSiO3 | Alexandria | PBE | optimized geometry
# Electronic total energy = -7.664 eV per atom
# M_tot = 0.5 Bohr magnetons per cell
# E_form (uncorrected) = -2.338 eV/atom
data_ScSiO3
_symmetry_space_group_name_H-M 'P m -3 m'
_symmetry_Int_Tables_number 221
_symmetry_space_group_name_Hall '-P 4 2 3'
_cell_length_a 3.542
_cell_length_b 3.542
_cell_length_c 3.542
_cell_angle_alpha 90.00
_cell_angle_beta 90.00
_cell_angle_gamma 90.00
loop_
_atom_site_label
_atom_site_fract_x
_atom_site_fract_y
_atom_site_fract_z
Sc1 0.000 0.000 0.000
Si1 0.500 0.500 0.500
O1 0.000 0.500 0.500


2.
# Sc4Si2O | Alexandria | PBE | optimized geometry
# Relative energy among the computed polymorphs = 0.000 eV per atom
# Electronic total energy = -7.186 eV per atom
# M_tot = 1.4 Bohr magnetons per cell
# E_form (uncorrected) = -1.310 eV/atom
data_Sc4Si2O
_symmetry_space_group_name_H-M 'I 4/m m m'
_symmetry_Int_Tables_number 139
_symmetry_space_group_name_Hall '-I 4 2'
_cell_length_a 4.152
_cell_length_b 4.152
_cell_length_c 14.620
_cell_angle_alpha 90.00
_cell_angle_beta 90.00
_cell_angle_gamma 90.00
loop_
_atom_site_label
_atom_site_fract_x
_atom_site_fract_y
_atom_site_fract_z
Sc1 0.000 0.000 0.173
Sc2 0.000 0.500 0.000
Si1 0.000 0.000 0.362
O1 0.000 0.000 0.000


3.
# Sc3SiO | Alexandria | PBE | optimized geometry
# Relative energy among the computed polymorphs = 0.000 eV per atom
# Electronic total energy = -7.348 eV per atom
# M_tot = 0.0 Bohr magnetons per cell
# E_form (uncorrected) = -1.472 eV/atom
data_Sc3SiO
_symmetry_space_group_name_H-M 'P m -3 m'
_symmetry_Int_Tables_number 221
_symmetry_space_group_name_Hall '-P 4 2 3'
_cell_length_a 4.324
_cell_length_b 4.324
_cell_length_c 4.324
_cell_angle_alpha 90.00
_cell_angle_beta 90.00
_cell_angle_gamma 90.00
loop_
_atom_site_label
_atom_site_fract_x
_atom_site_fract_y
_atom_site_fract_z
Sc1 0.000 0.000 0.500
Si1 0.500 0.500 0.500
O1 0.000 0.000 0.000


4.
# Sc2Si2O | Alexandria | PBE | optimized geometry
# Relative energy among the computed polymorphs = 0.000 eV per atom
# Electronic total energy = -6.205 eV per atom
# M_tot = 0.0 Bohr magnetons per cell
# E_form (uncorrected) = -0.512 eV/atom
data_Sc2Si2O
_symmetry_space_group_name_H-M 'P 4/m b m'
_symmetry_Int_Tables_number 127
_symmetry_space_group_name_Hall '-P 4 2ab'
_cell_length_a 6.750
_cell_length_b 6.750
_cell_length_c 3.716
_cell_angle_alpha 90.00
_cell_angle_beta 90.00
_cell_angle_gamma 90.00
loop_
_atom_site_label
_atom_site_fract_x
_atom_site_fract_y
_atom_site_fract_z
Sc1 0.182 0.318 0.000
Si1 0.119 0.619 0.500
O1 0.000 0.000 0.500


Q: Which value of electronic total energy does entry 2 give?
A: -7.186 eV per atom


Q: Which value of M_tot does entry 4 give?
A: 0.0 Bohr magnetons per cell


Please write out number 3 again, unchanged.
# Sc3SiO | Alexandria | PBE | optimized geometry
# Relative energy among the computed polymorphs = 0.000 eV per atom
# Electronic total energy = -7.348 eV per atom
# M_tot = 0.0 Bohr magnetons per cell
# E_form (uncorrected) = -1.472 eV/atom
data_Sc3SiO
_symmetry_space_group_name_H-M 'P m -3 m'
_symmetry_Int_Tables_number 221
_symmetry_space_group_name_Hall '-P 4 2 3'
_cell_length_a 4.324
_cell_length_b 4.324
_cell_length_c 4.324
_cell_angle_alpha 90.00
_cell_angle_beta 90.00
_cell_angle_gamma 90.00
loop_
_atom_site_label
_atom_site_fract_x
_atom_site_fract_y
_atom_site_fract_z
Sc1 0.000 0.000 0.500
Si1 0.500 0.500 0.500
O1 0.000 0.000 0.000